[1]
A geometry-optimized Cd2CoBr structure. Source: Alexandria, functional PBE.

Unit cell a=3.2158 b=3.2645 c=8.0451 alpha=90.00 beta=90.14 gamma=90.00
Last column: nearest neighbours and their distance in Å.
Sites, in units of the cell vectors:
1 Cd 0.0016 0.0000 0.1977  4 Co 2.79, 2 Br 2.93
2 Cd 0.9984 0.0000 0.8023  4 Co 2.79, 2 Br 2.93
3 Co 0.5000 0.5000 0.0000  8 Cd 2.79
4 Br 0.0000 0.5000 0.5000  4 Cd 2.93, 4 Br 3.22-3.26

## Properties
- energy (eV/cell) = -9.95
- SG = P2/m (10)
- uncorrected formation energy (meV/atom) = 165

***

[2]
A geometry-optimized Cr3Re structure. Source: Alexandria, functional PBE.

Unit cell a=2.9383 b=4.2220 c=8.1571 alpha=90.00 beta=90.00 gamma=90.00
Last column: nearest neighbours and their distance in Å.
Sites, in units of the cell vectors:
1 Cr 0.0000 0.0000 0.0000  8 Cr 2.43-2.57
2 Cr 0.0000 0.5000 0.2372  6 Cr 2.43-2.57, 2 Re 2.60
3 Cr 0.0000 0.5000 0.7628  6 Cr 2.43-2.57, 2 Re 2.60
4 Cr 0.5000 0.0000 0.2372  6 Cr 2.43-2.57, 2 Re 2.60
5 Cr 0.5000 0.0000 0.7628  6 Cr 2.43-2.57, 2 Re 2.60
6 Cr 0.5000 0.5000 0.0000  8 Cr 2.43-2.57
7 Re 0.0000 0.0000 0.5000  4 Re 2.57, 4 Cr 2.60
8 Re 0.5000 0.5000 0.5000  4 Re 2.57, 4 Cr 2.60

## Properties
- energy (eV/cell) = -82.08
- SG = Cmmm (65)
- E_form (eV/atom) = 0.07

***

[3]
A geometry-optimized Ba4LiAg structure. Source: Alexandria, functional PBE.

Unit cell a=4.2689 b=4.2689 c=15.2469 alpha=90.00 beta=90.00 gamma=90.00
Last column: nearest neighbours and their distance in Å.
Sites, in units of the cell vectors:
1 Ba 0.0000 0.0000 0.1272  4 Ag 3.59, 1 Ba 3.88
2 Ba 0.0000 0.0000 0.8728  4 Ag 3.59, 1 Ba 3.88
3 Ba 0.5000 0.5000 0.3572  4 Li 3.72
4 Ba 0.5000 0.5000 0.6428  4 Li 3.72
5 Li 0.0000 0.0000 0.5000  8 Ba 3.72
6 Ag 0.5000 0.5000 0.0000  8 Ba 3.59

## Properties
- energy (eV/cell) = -12.83
- SG = P4/mmm (123)
- E_form (eV/atom) = -0.06

***

[4]
A geometry-optimized NdHoPdRh structure. Source: Alexandria, functional PBE.

Unit cell a=4.4902 b=3.7711 c=10.6830 alpha=90.00 beta=90.00 gamma=90.00
Last column: nearest neighbours and their distance in Å.
Sites, in units of the cell vectors:
1 Nd 0.0000 0.0000 0.0000  3 Rh 2.84-3.13, 4 Pd 3.00
2 Nd 0.0000 0.5000 0.5000  3 Rh 2.84-3.13, 4 Pd 3.00
3 Ho 0.5000 0.0000 0.7217  4 Rh 2.97, 3 Pd 2.99-3.02
4 Ho 0.5000 0.5000 0.2217  4 Rh 2.97, 3 Pd 2.99-3.02
5 Pd 0.5000 0.0000 0.4394  2 Rh 2.91, 3 Ho 2.99-3.02, 4 Nd 3.00
6 Pd 0.5000 0.5000 0.9394  2 Rh 2.91, 3 Ho 2.99-3.02, 4 Nd 3.00
7 Rh 0.0000 0.0000 0.2660  3 Nd 2.84-3.13, 2 Pd 2.91, 4 Ho 2.97
8 Rh 0.0000 0.5000 0.7660  3 Nd 2.84-3.13, 2 Pd 2.91, 4 Ho 2.97

## Properties
- energy (eV/cell) = -50.30
- SG = Amm2 (38)
- E_form (eV/atom) = -0.81

***

[5]
A geometry-optimized Sn3BRu structure. Source: Alexandria, functional PBE.

Unit cell a=5.2000 b=5.2000 c=5.2000 alpha=90.00 beta=90.00 gamma=90.00
Last column: nearest neighbours and their distance in Å.
Sites, in units of the cell vectors:
1 Sn 0.0000 0.0000 0.5000  2 Ru 2.60
2 Sn 0.0000 0.5000 0.0000  2 Ru 2.60
3 Sn 0.5000 0.0000 0.0000  2 Ru 2.60
4 B 0.5000 0.5000 0.5000  12 Sn 3.68
5 Ru 0.0000 0.0000 0.0000  6 Sn 2.60

## Properties
- energy (eV/cell) = -22.92
- SG = Pm-3m (221)
- E_form (eV/atom) = 1.01

***

[6]
A geometry-optimized Mg3IrS structure. Source: Alexandria, functional PBE.

Unit cell a=4.6366 b=4.6366 c=4.6366 alpha=90.00 beta=90.00 gamma=90.00
Last column: nearest neighbours and their distance in Å.
Sites, in units of the cell vectors:
1 Mg 0.0000 0.0000 0.5000  2 S 2.32
2 Mg 0.0000 0.5000 0.0000  2 S 2.32
3 Mg 0.5000 0.0000 0.0000  2 S 2.32
4 Ir 0.5000 0.5000 0.5000  12 Mg 3.28
5 S 0.0000 0.0000 0.0000  6 Mg 2.32

## Properties
- energy (eV/cell) = -17.58
- SG = Pm-3m (221)
- uncorrected formation energy (meV/atom) = 38

***

[7]
A geometry-optimized SmHo6Ag structure. Source: Alexandria, functional PBE.

Unit cell a=6.2598 b=6.2598 c=6.2598 alpha=95.75 beta=95.75 gamma=95.75
Last column: nearest neighbours and their distance in Å.
Sites, in units of the cell vectors:
1 Sm 0.0000 0.0000 0.0000  12 Ho 3.47-3.61
2 Ho 0.0709 0.5463 0.2632  1 Ag 2.99, 2 Ho 3.27-3.30
3 Ho 0.2632 0.0709 0.5463  1 Ag 2.99, 2 Ho 3.27-3.30
4 Ho 0.4537 0.7368 0.9291  1 Ag 2.99, 2 Ho 3.27-3.30
5 Ho 0.5463 0.2632 0.0709  1 Ag 2.99, 2 Ho 3.27-3.30
6 Ho 0.7368 0.9291 0.4537  1 Ag 2.99, 2 Ho 3.27-3.30
7 Ho 0.9291 0.4537 0.7368  1 Ag 2.99, 2 Ho 3.27-3.30
8 Ag 0.5000 0.5000 0.5000  6 Ho 2.99

## Properties
- energy (eV/cell) = -34.69
- SG = R-3 (148)
- E_form (eV/atom) = 0.04

***

[8]
A geometry-optimized Na2TcPb3O6 structure. Source: Alexandria, functional PBE.

Unit cell a=6.1713 b=6.1713 c=5.9052 alpha=97.67 beta=97.67 gamma=121.17
Last column: nearest neighbours and their distance in Å.
Sites, in units of the cell vectors:
1 Na 0.1769 0.8231 0.0000  4 O 2.42-2.52
2 Na 0.8231 0.1769 0.0000  4 O 2.42-2.52
3 Tc 0.5000 0.5000 0.0000  6 O 2.05-2.13
4 Pb 0.0000 0.0000 0.5000  6 O 2.57-2.67
5 Pb 0.3331 0.6669 0.5000  4 O 2.39-2.48
6 Pb 0.6669 0.3331 0.5000  4 O 2.39-2.48
7 O 0.1592 0.4244 0.8018  1 Tc 2.05
8 O 0.3109 0.3109 0.2555  1 Tc 2.13
9 O 0.4244 0.1592 0.8018  1 Tc 2.05
10 O 0.5756 0.8408 0.1982  1 Tc 2.05
11 O 0.6891 0.6891 0.7445  1 Tc 2.13
12 O 0.8408 0.5756 0.1982  1 Tc 2.05

## Properties
- energy (eV/cell) = -68.19
- SG = C2/m (12)
- uncorrected formation energy (meV/atom) = -1193